TeRh: relaxed, GGA-PBE.

Cell lengths 4.0710, 4.0710, 5.6746 Å; angles 90.00, 90.00, 120.00 degrees
With the nearest neighbours (Å) after each atom.
Atoms (fractional coordinates):
Te1 0.3333 0.6667 0.2500  6 Rh 2.75
Te2 0.6667 0.3333 0.7500  6 Rh 2.75
Rh1 0.0000 0.0000 0.0000  6 Te 2.75, 2 Rh 2.84
Rh2 0.0000 0.0000 0.5000  6 Te 2.75, 2 Rh 2.84

- Calculated volume: 81.45 Å³/cell
- E_form (uncorrected): -317 meV per atom